Entry 1:
# HfZnPtF2, relaxed, DFT PBE
# Size of the total moment (Bohr magnetons per cell): 0.42
# Energy relative to the elements, uncorrected (eV per formula unit): -0.4
# Calculated total energy (eV per atom): -4.28
data_HfZnPtF2
_cell_length_a 4.225
_cell_length_b 4.225
_cell_length_c 5.026
_cell_angle_alpha 90.00
_cell_angle_beta 90.00
_cell_angle_gamma 90.00
_space_group_name_H-M_alt 'P 4/m m m'
_space_group_IT_number 123
_space_group_name_Hall '-P 4 2'
loop_
_atom_site_label
_atom_site_fract_x
_atom_site_fract_y
_atom_site_fract_z
Hf1 0.000 0.000 0.000
Zn1 0.500 0.500 0.000
Pt1 0.500 0.500 0.500
F1 0.000 0.500 0.500



Entry 2:
# MoS, relaxed, DFT PBE
# Size of the total moment (Bohr magnetons per cell): 0.00
# Energy relative to the elements, uncorrected (eV per formula unit): -0.7
# Calculated total energy (eV per atom): -7.82
data_MoS
_cell_length_a 7.586
_cell_length_b 4.607
_cell_length_c 4.769
_cell_angle_alpha 90.00
_cell_angle_beta 113.00
_cell_angle_gamma 90.00
_space_group_name_H-M_alt 'C 1 2/m 1'
_space_group_IT_number 12
loop_
_space_group_symop_operation_xyz
'x,y,z'
'-x,-y,-z'
'-x,y,-z'
'x,-y,z'
'x+1/2,y+1/2,z'
'-x+1/2,-y+1/2,-z'
'-x+1/2,y+1/2,-z'
'x+1/2,-y+1/2,z'
loop_
_atom_site_label
_atom_site_fract_x
_atom_site_fract_y
_atom_site_fract_z
Mo1 0.160 0.000 0.123
S1 0.237 0.500 0.295



Entry 3:
# In2PS, relaxed, DFT PBE
# Size of the total moment (Bohr magnetons per cell): 0.00
# Energy relative to the elements, uncorrected (eV per formula unit): -0.8
# Calculated total energy (eV per atom): -3.94
data_In2PS
_cell_length_a 6.121
_cell_length_b 6.121
_cell_length_c 12.306
_cell_angle_alpha 90.00
_cell_angle_beta 90.00
_cell_angle_gamma 90.00
_space_group_name_H-M_alt 'I -4 2 d'
_space_group_IT_number 122
_space_group_name_Hall 'I -4 2bw'
loop_
_atom_site_label
_atom_site_fract_x
_atom_site_fract_y
_atom_site_fract_z
In1 0.240 0.250 0.125
P1 0.000 0.000 0.000
S1 0.000 0.000 0.500



Entry 4:
# Na10B13C7, relaxed, DFT PBE
# Size of the total moment (Bohr magnetons per cell): 0.01
# Formation energy (eV per atom): 0.087
# Calculated total energy (eV per atom): -5.40
data_Na10B13C7
_cell_length_a 22.821
_cell_length_b 2.829
_cell_length_c 9.939
_cell_angle_alpha 90.00
_cell_angle_beta 107.60
_cell_angle_gamma 90.00
_space_group_name_H-M_alt 'C 1 m 1'
_space_group_IT_number 8
loop_
_space_group_symop_operation_xyz
'x,y,z'
'x,-y,z'
'x+1/2,y+1/2,z'
'x+1/2,-y+1/2,z'
loop_
_atom_site_label
_atom_site_fract_x
_atom_site_fract_y
_atom_site_fract_z
Na1 0.000 0.000 0.000
Na2 0.000 0.500 0.494
Na3 0.100 0.500 0.197
Na4 0.101 0.000 0.693
Na5 0.199 0.000 0.393
Na6 0.200 0.500 0.893
Na7 0.299 0.500 0.593
Na8 0.301 0.000 0.092
Na9 0.399 0.000 0.798
Na10 0.399 0.500 0.293
B1 0.027 0.500 0.799
B2 0.084 0.000 0.411
B3 0.119 0.000 0.985
B4 0.181 0.500 0.605
B5 0.213 0.500 0.172
B6 0.277 0.000 0.800
B7 0.308 0.000 0.360
B8 0.317 0.500 0.881
B9 0.376 0.000 0.496
B10 0.389 0.500 0.025
B11 0.418 0.500 0.582
B12 0.484 0.500 0.714
B13 0.487 0.000 0.218
C1 0.019 0.000 0.281
C2 0.088 0.500 0.921
C3 0.116 0.500 0.475
C4 0.182 0.000 0.111
C5 0.213 0.000 0.671
C6 0.277 0.500 0.299
C7 0.421 0.000 0.088



Entry 5:
# TlSiRh, relaxed, DFT PBE
# Size of the total moment (Bohr magnetons per cell): 0.00
# Energy relative to the elements, uncorrected (eV per formula unit): -0.2
# Calculated total energy (eV per atom): -5.12
data_TlSiRh
_cell_length_a 3.2547
_cell_length_b 3.2547
_cell_length_c 6.2230
_cell_angle_alpha 90.00
_cell_angle_beta 90.00
_cell_angle_gamma 120.00
_space_group_name_H-M_alt 'P 3 m 1'
_space_group_IT_number 156
loop_
_space_group_symop_operation_xyz
'x,y,z'
'-y,x-y,z'
'-x+y,-x,z'
'-y,-x,z'
'-x+y,y,z'
'x,x-y,z'
loop_
_atom_site_label
_atom_site_fract_x
_atom_site_fract_y
_atom_site_fract_z
Tl1 0.0000 0.0000 0.0000
Si1 0.3333 0.6667 0.5978
Rh1 0.6667 0.3333 0.3703



Entry 6:
# Y2Cu3AgGe4, relaxed, DFT PBE
# Size of the total moment (Bohr magnetons per cell): 0.00
# Formation energy (eV per atom): -0.425
# Calculated total energy (eV per atom): -5.08
data_Y2Cu3AgGe4
_cell_length_a 4.179
_cell_length_b 4.179
_cell_length_c 10.297
_cell_angle_alpha 90.00
_cell_angle_beta 90.00
_cell_angle_gamma 90.00
_space_group_name_H-M_alt 'P -4 m 2'
_space_group_IT_number 115
loop_
_space_group_symop_operation_xyz
'x,y,z'
'y,-x,-z'
'-x,-y,z'
'-y,x,-z'
'-x,y,z'
'-y,-x,-z'
'x,-y,z'
'y,x,-z'
loop_
_atom_site_label
_atom_site_fract_x
_atom_site_fract_y
_atom_site_fract_z
Y1 0.000 0.500 0.245
Cu1 0.000 0.500 0.872
Cu2 0.500 0.500 0.500
Ag1 0.000 0.000 0.500
Ge1 0.000 0.000 0.000
Ge2 0.000 0.500 0.644
Ge3 0.500 0.500 0.000



- Which value of size of the total moment does entry 1 give?
  0.42 Bohr magnetons per cell